Entry 1:
A plane-wave DFT calculation with PBE was carried out for an optimized crystal structure of ZrAu2Br.

Output
The value obtained for the electronic total energy is -36.8 eV/cell. Its energy above the most stable polymorph in this dataset is 0.046 eV/atom. The magnetic moment comes out at 0.0 μB/cell. The raw formation energy is -1.6 eV per formula unit.

Unit cell a=3.2017 b=4.6152 c=14.2293 alpha=90.00 beta=90.00 gamma=90.00
With the nearest neighbours (Å) after each atom.
Space group Imm2 (No. 44)
Asymmetric unit:
1 Zr 0.0000 0.0000 0.0000 (multiplicity 2)  2 Br 2.71, 6 Au 2.93-2.94
2 Au 0.0000 0.0000 0.5609 (multiplicity 2)  2 Au 2.80, 4 Zr 2.94
3 Au 0.0000 0.5000 0.6722 (multiplicity 2)  2 Au 2.80, 2 Zr 2.93
4 Br 0.0000 0.5000 0.3464 (multiplicity 2)  2 Zr 2.71

***

Entry 2:
A plane-wave DFT calculation with PBE was carried out for an optimized crystal structure of HoHf2Cu9.

Output
The value obtained for the electronic total energy is -189.2 eV/cell. The formation energy comes out at -0.14 eV per atom. The magnetic moment comes out at 0.0 μB/cell.

Unit cell a=5.0500 b=5.0500 c=24.2781 alpha=90.00 beta=90.00 gamma=120.00
With the nearest neighbours (Å) after each atom.
Space group R-3m (No. 166, hexagonal axes)
Asymmetric unit:
1 Ho 0.0000 0.0000 0.0000 (multiplicity 3)  18 Cu 2.92-3.26
2 Hf 0.0000 0.0000 0.1488 (multiplicity 6)  12 Cu 2.82-2.97, 3 Hf 3.04
3 Cu 0.0000 0.0000 0.3327 (multiplicity 6)  6 Cu 2.50-2.54
4 Cu 0.0000 0.0000 0.5000 (multiplicity 3)  6 Cu 2.47
5 Cu 0.0019 0.5009 0.9152 (multiplicity 18)  7 Cu 2.47-2.54

***

Entry 3:
A plane-wave DFT calculation with PBE was carried out for an optimized crystal structure of LiTbMg2Hg4.

Output
The value obtained for the electronic total energy is -41.6 eV/cell. The formation energy comes out at -0.37 eV per atom. The magnetic moment comes out at 0.0 μB/cell.

Unit cell a=4.8911 b=4.8911 c=25.2926 alpha=90.00 beta=90.00 gamma=120.00
With the nearest neighbours (Å) after each atom.
Space group R-3m (No. 166, hexagonal axes)
Asymmetric unit:
1 Li 0.0000 0.0000 0.0000 (multiplicity 3)  8 Hg 2.94-2.98
2 Tb 0.0000 0.0000 0.5000 (multiplicity 3)  8 Hg 3.10-3.26
3 Mg 0.0000 0.0000 0.2534 (multiplicity 6)  7 Hg 2.97-3.02
4 Hg 0.0000 0.0000 0.1163 (multiplicity 6)  1 Li 2.94, 3 Mg 2.97, 3 Tb 3.10
5 Hg 0.0000 0.0000 0.3712 (multiplicity 6)  4 Mg 2.98-3.02, 3 Li 2.98, 1 Tb 3.26